An optimized crystal structure of K2MoClF6, computed with PBE+U.

Values from the calculation:
The calculation puts the calculated volume at 23.3 Å³/atom. Its symmetry is P1, No. 1. The total energy is -4.656 eV/atom.

a b c (Å): 6.3815 6.4397 8.5972
angles (deg): 58.20 58.31 55.03
Site moments in Bohr magnetons follow the coordinates.
Element x y z (fractional)
F (0.2529, 0.2594, 0.8538)  0.02
F (0.7086, 0.2388, 0.8292)  0.01
Mo (0.3423, 0.3448, 0.9916)  0.95
F (0.9740, 0.4483, 0.1610)  0.01
K (0.9688, 0.9639, 0.0966)  0.00
F (0.4321, 0.4289, 0.1324)  0.02
K (0.4503, 0.4430, 0.4567)  0.00
F (0.4449, 0.9789, 0.1601)  0.00
Cl (0.8506, 0.8472, 0.5040)  0.08
F (0.2372, 0.7086, 0.8299)  0.00